ZrFeIrPb after structural relaxation. Source: OQMD via LeMat-Bulk, functional PBE.

The structure in CIF format:
```
data_ZrFeIrPb
_chemical_formula_sum 'Zr4 Fe4 Ir4 Pb4'
_space_group_name_H-M_alt 'F -4 3 m'
_space_group_IT_number 216
_space_group_name_Hall 'F -4 2 3'
_cell_length_a 6.545
_cell_length_b 6.545
_cell_length_c 6.545
_cell_angle_alpha 90.00
_cell_angle_beta 90.00
_cell_angle_gamma 90.00
loop_
_atom_site_label
_atom_site_fract_x
_atom_site_fract_y
_atom_site_fract_z
_atom_site_occupancy
Zr1 0.000 0.000 0.000 1
Fe1 0.250 0.250 0.750 1
Ir1 0.250 0.250 0.250 1
Pb1 0.000 0.000 0.500 1
```

Values from the calculation:
energy above the most stable polymorph in this dataset = 0 meV per atom
E_tot = -119.00 eV per cell